ScCdFeAs PBE optimized geometry; offset from the most stable computed form = 0.00 eV per formula unit; symmetry = F-43m (216); M_tot = 2.0 μB/f.u.
1.0
3.8964 1.8164 1.6599
0.2774 1.1902 4.4433
2.6383 -2.4456 2.8801
Fe As Sc Cd
1 1 1 1
Direct
0.7500 0.7500 0.7500
0.0000 0.0000 0.0000
0.2500 0.2500 0.2500
0.5000 0.5000 0.5000